The following is a DFT calculation (PBE) of an optimized crystal structure of Tb2SmEr.

a b c (Å): 5.036 5.036 5.044
angles (deg): 90.00 90.00 90.00
Space group P4/mmm (No. 123)
Asymmetric unit:
Tb 0.000 0.500 0.000 [2 per cell]
Sm 0.000 0.000 0.500 [1 per cell]
Er 0.500 0.500 0.500 [1 per cell]

Results
ΔE_f   0.020 eV/atom
Energy relative to the lowest polymorph listed for this composition   0.026 eV per formula unit
Total moment   0.000 μB/f.u.
Calculated total energy   -4.62 eV per atom